1.
5
Lattice="5.0530 0.0000 0.0000 0.0000 5.0530 0.0000 0.0000 0.0000 5.0530" Properties=species:S:1:pos:R:3 comment="CdAs3Se | Alexandria | PBE | relaxed" m_tot_mub_per_fu=0.0 pbc="T T T"
Cd 0.0000 0.0000 0.0000
As 0.0000 2.5265 2.5265
As 2.5265 0.0000 2.5265
As 2.5265 2.5265 0.0000
Se 2.5265 2.5265 2.5265



2.
8
Lattice="-2.8456 2.8456 7.2009 2.8456 -2.8456 7.2009 2.8456 2.8456 -7.2009" Properties=species:S:1:pos:R:3 comment="CdAsSe2 | Alexandria | PBE | relaxed" m_tot_mub_per_fu=0.0 pbc="T T T"
Cd 0.0000 0.0000 0.0000
Cd 0.0000 2.8456 3.6005
As 2.8456 0.0000 3.6005
As 0.0000 0.0000 7.2009
Se 1.4228 -1.3146 5.4007
Se 1.5310 1.4228 1.8002
Se 1.4228 4.1602 -1.8002
Se 1.3146 1.4228 9.0011



3.
5
Lattice="5.1257 0.0000 0.0000 0.0000 5.1257 0.0000 0.0000 0.0000 5.1257" Properties=species:S:1:pos:R:3 comment="CdAs3Se | Alexandria | PBE | relaxed" m_tot_mub_per_fu=0.0 pbc="T T T"
Cd 0.0000 0.0000 0.0000
As 0.0000 0.0000 2.5628
As 0.0000 2.5628 0.0000
As 2.5628 0.0000 0.0000
Se 2.5628 2.5628 2.5628



E_form (uncorrected), respectively: 3.839, -0.352, 5.469 eV/f.u..